1.
Compound: KYBi2
Source: the Alexandria database
Functional: meta-GGA SCAN
Structure: single point on PBEsol structure

Cell and atoms, written as POSCAR:
```
KYBi2
1.0
-1.757 -5.037 -1.630
3.551 -4.301 -0.083
-0.516 -4.115 3.730
Y K Bi
1 1 2
Cartesian
0.639 -6.726 1.009
0.000 0.000 0.000
0.319 -3.363 0.504
0.958 -10.089 1.513
```

Summary:
Space-group type = Fm-3m (225)
DFT formation energy = -0.464 eV/atom

=====

2.
Compound: KY2Bi
Source: the Alexandria database
Functional: meta-GGA SCAN
Structure: single point on PBEsol structure

Cell and atoms, written as POSCAR:
```
KY2Bi
1.0
-5.253 0.844 1.361
-3.947 -0.625 -3.767
-3.466 -4.246 0.334
Y Bi K
2 1 1
Cartesian
-9.500 -3.020 -1.554
-3.167 -1.007 -0.518
-6.333 -2.013 -1.036
0.000 0.000 0.000
```

Summary:
Space-group type = Fm-3m (225)
Energy above the lowest structure with this stoichiometry = 0 meV/atom
DFT formation energy = 0.015 eV/atom

=====

3.
Compound: K3YBi
Source: the Alexandria database
Functional: meta-GGA SCAN
Structure: single point on PBEsol structure

Cell and atoms, written as POSCAR:
```
K3YBi
1.0
-0.669 -1.448 -6.359
3.581 -5.424 0.858
-5.450 -3.386 1.344
K Y Bi
3 1 1
Cartesian
-0.334 -0.724 -3.180
-2.725 -1.693 0.672
1.791 -2.712 0.429
0.000 0.000 0.000
-1.269 -5.129 -2.078
```

Summary:
Space-group type = Pm-3m (221)
DFT formation energy = 0.967 eV/atom

=====

4.
Compound: KY2Bi
Source: the Alexandria database
Functional: meta-GGA SCAN
Structure: single point on PBEsol structure

Cell and atoms, written as POSCAR:
```
KY2Bi
1.0
-0.751 5.042 -3.202
-4.673 -2.506 -2.851
-3.906 2.519 10.542
K Y Bi
2 4 2
Cartesian
-3.684 4.415 2.156
-2.712 1.268 -3.027
-5.159 -0.933 -0.260
-2.823 0.320 1.166
-7.487 2.848 3.410
-7.112 0.327 5.011
-5.645 0.641 2.332
0.000 0.000 0.000
```

Summary:
Space-group type = I4_1/amd (141)
Energy above the lowest structure with this stoichiometry = 281 meV/atom
DFT formation energy = 0.296 eV/atom

=====

5.
Compound: LaBi
Source: the Alexandria database
Functional: meta-GGA SCAN
Structure: single point on PBEsol structure

Cell and atoms, written as POSCAR:
```
LaBi
1.0
4.636 0.000 0.000
2.318 4.014 0.000
2.318 1.338 3.785
La Bi
1 1
Cartesian
4.636 2.676 1.892
0.000 0.000 0.000
```

Summary:
Space-group type = Fm-3m (225)
DFT formation energy = -1.233 eV/atom

=====

6.
Compound: La4Bi3
Source: the Alexandria database
Functional: meta-GGA SCAN
Structure: single point on PBEsol structure

Cell and atoms, written as POSCAR:
```
La4Bi3
1.0
8.428 0.000 0.000
-2.809 7.946 0.000
-2.809 -3.973 6.881
La Bi
8 6
Cartesian
5.429 0.000 0.000
1.000 3.132 3.441
-1.810 3.400 0.992
2.404 -0.841 3.441
1.215 0.000 0.000
-3.214 1.414 4.432
-0.405 -0.573 5.889
3.809 5.387 2.449
-2.107 4.469 4.301
4.916 -1.986 5.161
0.702 5.463 0.860
3.511 1.986 1.720
2.107 1.490 6.021
-0.702 0.497 2.580
```

Summary:
Space-group type = I-43d (220)
DFT formation energy = -1.083 eV/atom

=====

7.
Compound: La5Bi3
Source: the Alexandria database
Functional: meta-GGA SCAN
Structure: single point on PBEsol structure

Cell and atoms, written as POSCAR:
```
La5Bi3
1.0
6.601 0.000 0.000
0.000 9.605 0.000
0.000 -4.802 8.318
Bi La
6 10
Cartesian
1.650 5.904 0.000
1.650 -2.952 5.113
4.951 3.701 0.000
4.951 2.952 5.113
4.951 -1.850 3.205
1.650 1.850 3.205
3.300 4.802 2.773
4.951 7.180 0.000
3.300 0.000 5.545
1.650 3.590 6.218
0.000 0.000 5.545
1.650 -1.212 2.100
0.000 4.802 2.773
1.650 2.424 0.000
4.951 1.212 2.100
4.951 -3.590 6.218
```

Summary:
Space-group type = P6_3/mcm (193)
DFT formation energy = -0.978 eV/atom

=====

8.
Compound: Li3LaBi2
Source: the Alexandria database
Functional: meta-GGA SCAN
Structure: single point on PBEsol structure

Cell and atoms, written as POSCAR:
```
Li3LaBi2
1.0
4.692 0.000 0.000
-2.346 4.063 0.000
0.000 0.000 7.465
Bi Li La
2 3 1
Cartesian
2.346 1.354 5.564
0.000 2.709 1.901
0.000 2.709 4.821
2.346 1.354 2.644
0.000 0.000 3.733
0.000 0.000 0.000
```

Summary:
Space-group type = P-3m1 (164)
DFT formation energy = -0.823 eV/atom

=====

9.
Compound: LiLaBi2
Source: the Alexandria database
Functional: meta-GGA SCAN
Structure: single point on PBEsol structure

Cell and atoms, written as POSCAR:
```
LiLaBi2
1.0
4.530 0.000 0.000
0.000 4.530 0.000
0.000 0.000 10.628
Li Bi La
2 4 2
Cartesian
2.265 2.265 0.000
0.000 0.000 0.000
0.000 0.000 5.314
2.265 0.000 1.719
2.265 2.265 5.314
0.000 2.265 8.909
0.000 2.265 2.707
2.265 0.000 7.921
```

Summary:
Space-group type = P4/nmm (129)
DFT formation energy = -0.851 eV/atom

=====

10.
Compound: Li2LaTaBi
Source: the Alexandria database
Functional: meta-GGA SCAN
Structure: single point on PBEsol structure

Cell and atoms, written as POSCAR:
```
Li2LaTaBi
1.0
4.863 0.000 0.000
0.000 4.863 0.000
0.000 0.000 5.451
Ta Bi Li La
1 1 2 1
Cartesian
0.000 0.000 2.726
0.000 0.000 0.000
0.000 2.431 0.000
2.431 0.000 0.000
2.431 2.431 2.726
```

Summary:
Space-group type = P4/mmm (123)
DFT formation energy = 0.444 eV/atom

=====

11.
Compound: LaMg3Bi
Source: the Alexandria database
Functional: meta-GGA SCAN
Structure: single point on PBEsol structure

Cell and atoms, written as POSCAR:
```
LaMg3Bi
1.0
-0.009 5.418 0.742
-1.612 0.707 -5.178
-5.226 -0.227 1.596
Mg La Bi
3 1 1
Cartesian
-2.613 -0.113 0.798
-0.004 2.709 0.371
-0.806 0.353 -2.589
-3.423 2.949 -1.420
0.000 0.000 0.000
```

Summary:
Space-group type = Pm-3m (221)
DFT formation energy = 0.249 eV/atom

=====

12.
Compound: La3MgBi5
Source: the Alexandria database
Functional: meta-GGA SCAN
Structure: single point on PBEsol structure

Cell and atoms, written as POSCAR:
```
La3MgBi5
1.0
-5.515 -0.898 3.329
-2.412 -7.280 -5.960
5.146 -1.805 8.037
Bi La Mg
10 6 2
Cartesian
-2.650 -5.904 0.371
-2.756 -1.158 4.652
-3.144 -5.553 -3.529
2.388 -1.546 6.715
-2.135 -7.323 4.018
-0.646 -2.660 1.389
-4.783 -2.626 0.899
2.627 -3.630 3.372
0.107 -5.455 -1.294
-0.131 -4.079 5.036
-2.298 -2.998 -1.438
-0.950 -1.791 7.473
0.582 -0.912 3.894
0.314 -5.849 2.119
-3.095 -4.135 3.288
-5.629 -5.181 -1.192
-2.757 -0.449 1.665
0.000 0.000 0.000
```

Summary:
Space-group type = P6_3/mcm (193)
DFT formation energy = -0.866 eV/atom

=====

13.
Compound: LaBiMo3
Source: the Alexandria database
Functional: meta-GGA SCAN
Structure: single point on PBEsol structure

Cell and atoms, written as POSCAR:
```
LaBiMo3
1.0
-4.388 -1.975 -0.055
1.069 -2.261 -4.111
1.662 -3.761 2.500
Mo Bi La
3 1 1
Cartesian
-2.194 -0.988 -0.027
0.831 -1.880 1.250
0.534 -1.130 -2.056
-0.828 -3.999 -0.833
0.000 0.000 0.000
```

Summary:
Space-group type = Pm-3m (221)
DFT formation energy = 2.229 eV/atom

=====

14.
Compound: LaBi2TeMo
Source: the Alexandria database
Functional: meta-GGA SCAN
Structure: single point on PBEsol structure

Cell and atoms, written as POSCAR:
```
LaBi2TeMo
1.0
5.254 0.000 0.000
0.000 5.254 0.000
0.000 0.000 5.429
Bi La Mo Te
2 1 1 1
Cartesian
2.627 0.000 0.000
0.000 2.627 0.000
0.000 0.000 2.715
0.000 0.000 0.000
2.627 2.627 2.715
```

Summary:
Space-group type = P4/mmm (123)
Energy = -54.565 eV/atom

=====

15.
Compound: LaBi3N
Source: the Alexandria database
Functional: meta-GGA SCAN
Structure: single point on PBEsol structure

Cell and atoms, written as POSCAR:
```
LaBi3N
1.0
4.981 0.000 0.000
0.000 4.981 0.000
0.000 0.000 4.981
La N Bi
1 1 3
Cartesian
2.490 2.490 2.490
0.000 0.000 0.000
2.490 0.000 0.000
0.000 2.490 0.000
0.000 0.000 2.490
```

Summary:
Space-group type = Pm-3m (221)
Energy = -57.562 eV/atom

=====

16.
Compound: La2BiN
Source: the Alexandria database
Functional: meta-GGA SCAN
Structure: single point on PBEsol structure

Cell and atoms, written as POSCAR:
```
La2BiN
1.0
4.771 0.000 0.000
0.000 4.771 0.000
0.000 0.000 9.419
Bi N La
2 2 4
Cartesian
2.385 0.000 6.598
0.000 2.385 2.821
0.000 2.385 8.585
2.385 0.000 0.834
0.000 2.385 6.339
2.385 0.000 3.080
0.000 0.000 0.000
2.385 2.385 0.000
```

Summary:
Space-group type = P4/nmm (129)
Energy = -45.003 eV/atom

=====

17.
Compound: LaBi2PdN
Source: the Alexandria database
Functional: meta-GGA SCAN
Structure: single point on PBEsol structure

Cell and atoms, written as POSCAR:
```
LaBi2PdN
1.0
-0.453 -4.188 2.327
3.478 -1.923 -2.784
3.353 1.420 3.208
Bi Pd N La
2 1 1 1
Cartesian
1.739 -0.962 -1.392
1.676 0.710 1.604
3.189 -2.346 1.376
0.000 0.000 0.000
-0.227 -2.094 1.164
```

Summary:
Space-group type = P4/mmm (123)
Energy = -48.645 eV/atom

=====

18.
Compound: LaBiSN2
Source: the Alexandria database
Functional: meta-GGA SCAN
Structure: single point on PBEsol structure

Cell and atoms, written as POSCAR:
```
LaBiSN2
1.0
-0.454 3.862 1.814
-1.820 -1.825 3.430
5.069 -0.533 2.405
La Bi N S
1 1 2 1
Cartesian
0.000 0.000 0.000
1.397 0.751 3.825
-0.227 1.931 0.907
-0.910 -0.913 1.715
2.534 -0.267 1.203
```

Summary:
Space-group type = P4/mmm (123)
Energy = -29.438 eV/atom

=====

19.
Compound: NaLa2Bi2
Source: the Alexandria database
Functional: meta-GGA SCAN
Structure: single point on PBEsol structure

Cell and atoms, written as POSCAR:
```
NaLa2Bi2
1.0
-2.837 0.648 3.175
-4.444 -7.056 -2.530
4.821 -4.943 5.316
La Na Bi
4 2 4
Cartesian
-0.187 -8.458 4.480
1.048 -3.919 4.657
-3.508 -7.431 1.304
-2.273 -2.892 1.481
0.189 -5.999 1.393
0.000 0.000 0.000
0.962 -2.802 1.432
-2.163 -5.403 -0.830
-0.585 -9.197 1.354
2.540 -6.595 3.615
```

Summary:
Space-group type = P4/mbm (127)
DFT formation energy = -0.897 eV/atom

=====

20.
Compound: Na2LaBi2
Source: the Alexandria database
Functional: meta-GGA SCAN
Structure: single point on PBEsol structure

Cell and atoms, written as POSCAR:
```
Na2LaBi2
1.0
-1.082 0.012 4.332
2.853 -3.359 0.722
4.723 6.735 -1.140
Bi Na La
2 2 1
Cartesian
4.474 4.037 1.107
2.020 -0.650 2.808
4.231 0.851 1.055
2.263 2.537 2.860
0.000 0.000 0.000
```

Summary:
Space-group type = I4/mmm (139)
DFT formation energy = -0.554 eV/atom

=====

21.
Compound: LaNbNi2Bi
Source: the Alexandria database
Functional: meta-GGA SCAN
Structure: single point on PBEsol structure

Cell and atoms, written as POSCAR:
```
LaNbNi2Bi
1.0
-0.117 -2.262 4.039
-3.820 -2.235 -1.362
3.066 -3.948 -2.122
Ni Bi Nb La
2 1 1 1
Cartesian
-0.058 -1.131 2.020
-1.910 -1.118 -0.681
-0.435 -4.222 0.278
0.000 0.000 0.000
1.533 -1.974 -1.061
```

Summary:
Space-group type = P4/mmm (123)
DFT formation energy = 0.823 eV/atom

=====

22.
Compound: LaTiNbBi2O9
Source: the Alexandria database
Functional: meta-GGA SCAN
Structure: single point on PBEsol structure

Cell and atoms, written as POSCAR:
```
LaTiNbBi2O9
1.0
-4.579 -1.885 -2.281
2.852 -1.732 -4.294
3.482 -21.988 11.181
O Ti Bi Nb La
36 4 8 4 4
Cartesian
1.982 -7.256 -0.934
0.546 -6.385 1.228
-0.176 -2.454 -0.866
2.458 -11.109 0.957
2.803 -21.233 8.695
-0.317 -8.138 -2.105
1.637 -16.194 4.176
-1.753 -7.266 0.057
-0.012 -21.175 5.089
-1.511 -4.429 0.783
1.741 -10.994 5.590
0.878 -12.802 2.303
1.426 -0.866 -2.147
3.509 -18.339 4.550
1.559 -13.451 4.721
0.415 -19.444 8.117
0.197 -12.154 -0.114
-2.466 -3.510 -1.952
-0.703 -14.495 3.649
-1.214 -11.297 2.011
2.073 -17.467 6.712
1.235 -3.311 -2.991
1.768 -4.429 -0.483
0.520 -22.293 7.598
0.118 -9.411 0.431
2.970 -14.308 2.596
-1.048 -4.372 -4.088
1.040 -10.248 3.093
-2.289 -0.942 -1.140
-0.226 -18.348 5.540
1.932 -23.151 5.473
2.095 -14.655 7.302
-3.191 -9.218 1.598
0.716 -15.357 1.513
4.222 -22.094 6.559
1.210 -19.220 3.379
1.717 -2.747 -1.195
1.182 -14.678 3.262
0.574 -10.926 1.345
0.039 -22.858 5.801
1.634 -19.571 5.536
3.559 -16.329 5.506
0.121 -6.033 -0.929
-1.804 -9.276 -0.900
-1.194 -7.496 2.230
2.729 -17.592 8.907
-3.825 -6.281 -0.007
0.098 -16.377 6.670
0.868 -21.005 9.048
2.029 -12.935 6.564
-1.964 -2.868 -0.148
-3.125 -10.937 2.336
0.000 0.000 0.000
-0.863 -1.808 -3.287
-0.548 -11.936 4.450
3.167 -11.860 3.444
```

Summary:
Space-group type = Pbam (55)
Energy = -24.388 eV/atom

=====

23.
Compound: LaNb2BiPb
Source: the Alexandria database
Functional: meta-GGA SCAN
Structure: single point on PBEsol structure

Cell and atoms, written as POSCAR:
```
LaNb2BiPb
1.0
5.196 0.000 0.000
0.000 5.196 0.000
0.000 0.000 5.765
La Nb Pb Bi
1 2 1 1
Cartesian
2.598 2.598 2.882
0.000 2.598 0.000
2.598 0.000 0.000
0.000 0.000 0.000
0.000 0.000 2.882
```

Summary:
Space-group type = P4/mmm (123)
DFT formation energy = 1.102 eV/atom

=====

Number 1: magnetic moment 0.00 μB/cell. Number 2: magnetic moment 1.55 μB/cell. Number 3: magnetic moment 1.01 μB/cell. Number 4: magnetic moment 4.99 μB/cell. Number 5: magnetic moment 0.00 μB/cell. Number 6: magnetic moment 0.00 μB/cell. Number 7: magnetic moment 0.00 μB/cell. Number 8: magnetic moment 0.00 μB/cell. Number 9: magnetic moment 0.00 μB/cell. Number 10: magnetic moment 1.67 μB/cell. Number 11: magnetic moment 0.00 μB/cell. Number 12: magnetic moment 0.00 μB/cell. Number 13: magnetic moment 3.45 μB/cell. Number 14: magnetic moment 0.00 μB/cell. Number 15: magnetic moment 0.00 μB/cell. Number 16: magnetic moment 0.00 μB/cell. Number 17: magnetic moment 0.00 μB/cell. Number 18: magnetic moment 0.65 μB/cell. Number 19: magnetic moment 1.63 μB/cell. Number 20: magnetic moment 0.00 μB/cell. Number 21: magnetic moment 0.00 μB/cell. Number 22: magnetic moment 0.00 μB/cell. Number 23: magnetic moment 0.00 μB/cell.